# 1
Computed, not measured: a relaxed structure of Nd5Dy2Y at the PBE-GGA level of DFT.

It has space group Pbam (No. 55), with a = 7.2619 Å, b = 14.5329 Å, c = 5.1416 Å, α = 90.00°, β = 90.00° and γ = 90.00°. The inequivalent atoms are Nd at (0.0000, 0.0000, 0.0000), Nd at (0.9995, 0.2506, 0.0000), Nd at (0.2493, 0.3755, 0.5000), Dy at (0.2498, 0.1242, 0.5000) and Y at (0.0000, 0.5000, 0.0000).

The formation energy is 0.0155 eV per atom. The calculation puts the offset from the most stable computed form at 0.000 eV per formula unit.



# 2
Computed, not measured: a relaxed structure of CaSc2Ge2 at the PBE-GGA level of DFT.

It has space group P4/mbm (No. 127), with a = 8.0920 Å, b = 8.0920 Å, c = 3.3548 Å, α = 90.00°, β = 90.00° and γ = 90.00°. The inequivalent atoms are Ca at (0.0000, 0.0000, 0.0000), Sc at (0.1378, 0.3622, 0.5000) and Ge at (0.1613, 0.6613, 0.0000).

The formation energy is -0.6061 eV per atom. The calculation puts the offset from the most stable computed form at 0.000 eV per formula unit.



# 3
Computed, not measured: a relaxed structure of Na4Y3GaO8 at the PBE-GGA level of DFT.

It has space group R-3m (No. 166, hexagonal axes), with a = 6.6775 Å, b = 6.6775 Å, c = 16.7051 Å, α = 90.00°, β = 90.00° and γ = 120.00°. The inequivalent atoms are Na at (0.0000, 0.0000, 0.0000), Na at (0.0000, 0.5000, 0.0000), Y at (0.0000, 0.5000, 0.5000), Ga at (0.0000, 0.0000, 0.5000), O at (0.0000, 0.0000, 0.2375) and O at (0.0195, 0.5098, 0.2363).

For the uncorrected formation energy, the calculation gives -2468.2 meV/atom.



# 4
Computed, not measured: a relaxed structure of PmPr2ScP4 at the PBE-GGA level of DFT.

It has space group P2/m (No. 10), with a = 7.0628 Å, b = 4.0906 Å, c = 7.0666 Å, α = 90.00°, β = 109.48° and γ = 90.00°. The inequivalent atoms are Pm at (0.0000, 0.0000, 0.0000), Pr at (0.5000, 0.0000, 0.5000), Pr at (0.5000, 0.5000, 0.0000), Sc at (0.0000, 0.5000, 0.5000), P at (0.2314, 0.0000, 0.7342) and P at (0.2384, 0.5000, 0.2559).

The formation energy is -1.4712 eV per atom.



# 5
Computed, not measured: a relaxed structure of Tl2BF8 at the PBE-GGA level of DFT.

It has space group P1 (No. 1), with a = 4.3884 Å, b = 4.4293 Å, c = 9.2074 Å, α = 97.48°, β = 94.83° and γ = 93.58°. The inequivalent atoms are Tl at (0.0000, 0.0000, 0.0000), Tl at (0.0618, 0.6008, 0.3498), B at (0.1184, 0.1871, 0.6614), F at (0.0009, 0.5167, 0.0626), F at (0.0485, 0.0759, 0.2611), F at (0.2719, 0.9718, 0.5703), F at (0.3202, 0.3809, 0.7588), F at (0.4977, 0.9792, 0.9976), F at (0.5593, 0.5977, 0.3362), F at (0.9138, 0.0158, 0.7424) and F at (0.9319, 0.3496, 0.5686).

For the uncorrected formation energy, the calculation gives -2166.0 meV/atom.



# 6
Computed, not measured: a relaxed structure of Li6Al2Cu at the PBE-GGA level of DFT.

It has space group C2/m (No. 12), with a = 7.3042 Å, b = 13.7405 Å, c = 2.9513 Å, α = 90.00°, β = 97.89° and γ = 90.00°. The inequivalent atoms are Li at (0.1657, 0.1742, 0.3402), Li at (0.1970, 0.0000, 0.8673), Al at (0.0000, 0.3510, 0.0000) and Cu at (0.0000, 0.5000, 0.5000).

The formation energy is -0.0868 eV per atom. The calculation puts the offset from the most stable computed form at 0.290 eV per formula unit.



| no. | calculated density (g/cm³) |
| --- | --- |
| 1 | 6.9 |
| 2 | 4.2 |
| 3 | 4.3 |
| 4 | 5.1 |
| 5 | 5.4 |
| 6 | 1.8 |